Entry 1:
Material: MnZn3O4
Method: DFT, PBE with a Hubbard U
State: optimized geometry

```
MnZn3O4
1.0
6.6565 0.0000 0.0000
0.0000 5.7649 0.0000
0.0000 0.0000 5.3491
Mn Zn O
2 6 8
direct
0.0000 0.1648 0.0000
0.5000 0.8352 0.5000
0.0000 0.8280 0.4987
0.2494 0.3351 0.4995
0.2506 0.6649 0.9995
0.5000 0.1720 0.9987
0.7494 0.6649 0.9995
0.7506 0.3351 0.4995
0.0000 0.1629 0.6061
0.0000 0.8212 0.1227
0.2437 0.6624 0.6238
0.2563 0.3376 0.1238
0.5000 0.1788 0.6227
0.5000 0.8371 0.1061
0.7437 0.3376 0.1238
0.7563 0.6624 0.6238
```

Summary:
Distance to the lowest polymorph of the same formula in meV per atom: 0
Space group: No. 31



Entry 2:
Material: Mn5Zn3O12
Method: DFT, PBE with a Hubbard U
State: optimized geometry

```
Mn5Zn3O12
1.0
-6.2238 6.2238 6.2238
6.2238 -6.2238 6.2238
6.2238 6.2238 -6.2238
Mn Zn O
20 12 48
direct
0.0000 0.0000 0.0000
0.0000 0.0000 0.5000
0.0000 0.5000 0.0000
0.0000 0.5000 0.5000
0.1250 0.7500 0.8750
0.1250 0.8750 0.2500
0.2500 0.1250 0.8750
0.2500 0.6250 0.3750
0.3750 0.2500 0.6250
0.3750 0.6250 0.7500
0.5000 0.0000 0.0000
0.5000 0.0000 0.5000
0.5000 0.5000 0.0000
0.5000 0.5000 0.5000
0.6250 0.3750 0.2500
0.6250 0.7500 0.3750
0.7500 0.3750 0.6250
0.7500 0.8750 0.1250
0.8750 0.1250 0.7500
0.8750 0.2500 0.1250
0.1250 0.2500 0.3750
0.1250 0.3750 0.7500
0.2500 0.3750 0.1250
0.2500 0.8750 0.6250
0.3750 0.1250 0.2500
0.3750 0.7500 0.1250
0.6250 0.2500 0.8750
0.6250 0.8750 0.7500
0.7500 0.1250 0.3750
0.7500 0.6250 0.8750
0.8750 0.6250 0.2500
0.8750 0.7500 0.6250
0.0074 0.1669 0.1469
0.0074 0.3405 0.8605
0.0200 0.6669 0.6595
0.0200 0.8531 0.3605
0.1395 0.6469 0.4800
0.1395 0.9926 0.6595
0.1469 0.0074 0.1669
0.1469 0.6395 0.9800
0.1595 0.1669 0.5200
0.1595 0.4926 0.6395
0.1669 0.1469 0.0074
0.1669 0.5200 0.1595
0.3331 0.3405 0.9800
0.3331 0.4926 0.3531
0.3405 0.8605 0.0074
0.3405 0.9800 0.3331
0.3531 0.3331 0.4926
0.3531 0.5200 0.8605
0.3605 0.0200 0.8531
0.3605 0.8405 0.5074
0.4800 0.1395 0.6469
0.4800 0.8405 0.8331
0.4926 0.3531 0.3331
0.4926 0.6395 0.1595
0.5074 0.3605 0.8405
0.5074 0.6469 0.6669
0.5200 0.1595 0.1669
0.5200 0.8605 0.3531
0.6395 0.1595 0.4926
0.6395 0.9800 0.1469
0.6469 0.4800 0.1395
0.6469 0.6669 0.5074
0.6595 0.0200 0.6669
0.6595 0.1395 0.9926
0.6669 0.5074 0.6469
0.6669 0.6595 0.0200
0.8331 0.4800 0.8405
0.8331 0.8531 0.9926
0.8405 0.5074 0.3605
0.8405 0.8331 0.4800
0.8531 0.3605 0.0200
0.8531 0.9926 0.8331
0.8605 0.0074 0.3405
0.8605 0.3531 0.5200
0.9800 0.1469 0.6395
0.9800 0.3331 0.3405
0.9926 0.6595 0.1395
0.9926 0.8331 0.8531
```

Summary:
Final energy in eV for the cell shown: -500.03
Space group: No. 230



Entry 3:
Material: Mn11ZnO16
Method: DFT, PBE with a Hubbard U
State: optimized geometry

```
Mn11ZnO16
1.0
4.1625 -4.7583 0.0000
4.1625 4.7583 0.0000
0.0000 0.0000 8.3252
Mn Zn O
11 1 16
direct
0.0000 0.0000 0.0000
0.0000 0.5000 0.7492
0.0023 0.2509 0.3767
0.2509 0.0023 0.6233
0.2519 0.5005 0.1271
0.4995 0.7481 0.8729
0.5000 0.0000 0.2508
0.5005 0.2519 0.8729
0.7481 0.4995 0.1271
0.7491 0.9977 0.6233
0.9977 0.7491 0.3767
0.5000 0.5000 0.5000
0.0064 0.7729 0.6122
0.0068 0.2725 0.1404
0.2271 0.9936 0.3878
0.2339 0.4945 0.3650
0.2707 0.5053 0.8897
0.2725 0.0068 0.8596
0.4945 0.2339 0.6350
0.4947 0.7293 0.1103
0.5053 0.2707 0.1103
0.5055 0.7661 0.6350
0.7275 0.9932 0.8596
0.7293 0.4947 0.8897
0.7661 0.5055 0.3650
0.7729 0.0064 0.3878
0.9932 0.7275 0.1404
0.9936 0.2271 0.6122
```

Summary:
Final energy in eV for the cell shown: -208.33
Space group: No. 21



Entry 4:
Material: MnZnO
Method: DFT, PBE with a Hubbard U
State: optimized geometry

```
MnZnO
1.0
18.8873 0.0000 0.0000
0.0000 3.0353 0.0000
0.0000 0.0000 3.0510
Mn Zn O
4 4 4
direct
0.1862 0.2500 0.2440
0.3138 0.7500 0.7440
0.6862 0.2500 0.2560
0.8138 0.7500 0.7560
0.0394 0.7500 0.2502
0.4606 0.2500 0.7502
0.5394 0.7500 0.2498
0.9606 0.2500 0.7498
0.1922 0.7500 0.7440
0.3078 0.2500 0.2440
0.6922 0.7500 0.7560
0.8078 0.2500 0.2560
```

Summary:
Final energy in eV for the cell shown: -65.14
Space group: No. 62



Entry 5:
Material: Mn2ZnO2
Method: DFT, PBE with a Hubbard U
State: optimized geometry

```
Mn2ZnO2
1.0
6.6610 0.0000 0.0000
0.0000 6.6610 0.0000
0.0000 0.0000 2.8667
Mn Zn O
4 2 4
direct
0.1461 0.3539 0.0000
0.3539 0.8539 0.0000
0.6461 0.1461 0.0000
0.8539 0.6461 0.0000
0.0000 0.0000 0.0000
0.5000 0.5000 0.0000
0.1468 0.6468 0.5000
0.3532 0.1468 0.5000
0.6468 0.8532 0.5000
0.8532 0.3532 0.5000
```

Summary:
Distance to the lowest polymorph of the same formula in meV per atom: 335
Space group: No. 127



Entry 6:
Material: Mn2ZnO2
Method: DFT, PBE with a Hubbard U
State: optimized geometry

```
Mn2ZnO2
1.0
-2.0541 2.0541 5.5662
2.0541 -2.0541 5.5662
2.0541 2.0541 -5.5662
Mn Zn O
2 1 2
direct
0.2131 0.2131 0.0000
0.7869 0.7869 0.0000
0.5000 0.5000 0.0000
0.2500 0.7500 0.5000
0.7500 0.2500 0.5000
```

Summary:
Distance to the lowest polymorph of the same formula in meV per atom: 0
Space group: No. 139



Entry 7:
Material: MnZn4O5
Method: DFT, PBE with a Hubbard U
State: optimized geometry

```
MnZn4O5
1.0
6.0674 -1.6608 0.0000
6.0674 1.6608 0.0000
-0.7320 0.0000 12.6593
Mn Zn O
2 8 10
direct
0.0000 0.0000 0.0000
0.1996 0.1996 0.5965
0.1340 0.1340 0.2340
0.3316 0.3316 0.8313
0.3985 0.3985 0.2007
0.5303 0.5303 0.4295
0.5992 0.5992 0.7997
0.7346 0.7346 0.0340
0.8003 0.8003 0.3975
0.9350 0.9350 0.6336
0.0842 0.0842 0.7112
0.1562 0.1562 0.0778
0.2852 0.2852 0.3092
0.3552 0.3552 0.6757
0.4827 0.4827 0.9038
0.5512 0.5512 0.2733
0.6823 0.6823 0.5003
0.7511 0.7511 0.8759
0.8827 0.8827 0.1129
0.9510 0.9510 0.4754
```

Summary:
Distance to the lowest polymorph of the same formula in meV per atom: 0
Space group: No. 8



Entry 8:
Material: Mn3ZnO4
Method: DFT, PBE with a Hubbard U
State: optimized geometry

```
Mn3ZnO4
1.0
-2.3967 2.3967 4.7946
2.3967 -2.3967 4.7946
2.3967 2.3967 -4.7946
Mn Zn O
3 1 4
direct
0.0000 0.0000 0.0000
0.2500 0.7500 0.5000
0.7500 0.2500 0.5000
0.5000 0.5000 0.0000
0.1354 0.1354 0.5147
0.3793 0.8646 0.0000
0.6207 0.6207 0.4853
0.8646 0.3793 0.0000
```

Summary:
Final energy in eV for the cell shown: -55.78
Space group: No. 121



Entry 9:
Material: Mn5ZnO8
Method: DFT, PBE with a Hubbard U
State: optimized geometry

```
Mn5ZnO8
1.0
0.0000 4.2117 4.2117
4.2117 0.0000 4.2117
4.2117 4.2117 0.0000
Mn Zn O
5 1 8
direct
0.0000 0.0000 0.0000
0.1245 0.6252 0.6252
0.6252 0.1245 0.6252
0.6252 0.6252 0.1245
0.6252 0.6252 0.6252
0.2500 0.2500 0.2500
0.3872 0.3872 0.3872
0.3872 0.3872 0.8384
0.3872 0.8384 0.3872
0.4176 0.8608 0.8608
0.8384 0.3872 0.3872
0.8608 0.4176 0.8608
0.8608 0.8608 0.4176
0.8608 0.8608 0.8608
```

Summary:
Final energy in eV for the cell shown: -96.45
Space group: No. 216



Entry 10:
Material: Mn2Zn2O5
Method: DFT, PBE with a Hubbard U
State: optimized geometry

```
Mn2Zn2O5
1.0
4.9162 -3.4555 0.0000
4.9162 3.4555 0.0000
0.0000 0.0000 5.6934
Mn Zn O
4 4 10
direct
0.2277 0.7723 0.8382
0.2723 0.7277 0.3382
0.7277 0.2723 0.6618
0.7723 0.2277 0.1618
0.2131 0.2131 0.5000
0.2869 0.2869 0.0000
0.7131 0.7131 0.0000
0.7869 0.7869 0.5000
0.0000 0.0000 0.5000
0.0523 0.6766 0.0979
0.1766 0.5523 0.5979
0.3234 0.9477 0.0979
0.4477 0.8234 0.5979
0.5000 0.5000 0.0000
0.5523 0.1766 0.4021
0.6766 0.0523 0.9021
0.8234 0.4477 0.4021
0.9477 0.3234 0.9021
```

Summary:
Distance to the lowest polymorph of the same formula in meV per atom: 95
Space group: No. 64



Entry 11:
Material: MnZn2O3
Method: DFT, PBE with a Hubbard U
State: optimized geometry

```
MnZn2O3
1.0
2.8728 -4.9897 0.0000
2.8728 4.9897 0.0000
-1.9098 0.0000 5.4226
Mn Zn O
2 4 6
direct
0.0863 0.9137 0.5000
0.9137 0.0863 0.0000
0.2522 0.7486 0.9996
0.4193 0.5838 0.4992
0.5838 0.4193 0.9992
0.7486 0.2522 0.4996
0.1286 0.6145 0.6283
0.3025 0.4682 0.1285
0.4682 0.3025 0.6285
0.6145 0.1286 0.1283
0.7824 0.9586 0.6160
0.9586 0.7824 0.1160
```

Summary:
Final energy in eV for the cell shown: -67.54
Space group: No. 9



Entry 12:
Material: Mn3Zn5O12
Method: DFT, PBE with a Hubbard U
State: optimized geometry

```
Mn3Zn5O12
1.0
-6.0177 6.0177 6.0177
6.0177 -6.0177 6.0177
6.0177 6.0177 -6.0177
Mn Zn O
12 20 48
direct
0.1250 0.2500 0.3750
0.1250 0.3750 0.7500
0.2500 0.3750 0.1250
0.2500 0.8750 0.6250
0.3750 0.1250 0.2500
0.3750 0.7500 0.1250
0.6250 0.2500 0.8750
0.6250 0.8750 0.7500
0.7500 0.1250 0.3750
0.7500 0.6250 0.8750
0.8750 0.6250 0.2500
0.8750 0.7500 0.6250
0.0000 0.0000 0.0000
0.0000 0.0000 0.5000
0.0000 0.5000 0.0000
0.0000 0.5000 0.5000
0.1250 0.7500 0.8750
0.1250 0.8750 0.2500
0.2500 0.1250 0.8750
0.2500 0.6250 0.3750
0.3750 0.2500 0.6250
0.3750 0.6250 0.7500
0.5000 0.0000 0.0000
0.5000 0.0000 0.5000
0.5000 0.5000 0.0000
0.5000 0.5000 0.5000
0.6250 0.3750 0.2500
0.6250 0.7500 0.3750
0.7500 0.3750 0.6250
0.7500 0.8750 0.1250
0.8750 0.1250 0.7500
0.8750 0.2500 0.1250
0.0518 0.2277 0.1267
0.0518 0.3241 0.9251
0.0749 0.6267 0.3990
0.0749 0.9482 0.6759
0.1010 0.7277 0.6759
0.1010 0.8733 0.4251
0.1267 0.0518 0.2277
0.1267 0.5749 0.8990
0.1759 0.2277 0.6010
0.1759 0.4482 0.5749
0.2277 0.1267 0.0518
0.2277 0.6010 0.1759
0.2723 0.3241 0.8990
0.2723 0.4482 0.3733
0.3241 0.8990 0.2723
0.3241 0.9251 0.0518
0.3733 0.2723 0.4482
0.3733 0.6010 0.9251
0.3990 0.0749 0.6267
0.3990 0.8241 0.7723
0.4251 0.1010 0.8733
0.4251 0.8241 0.5518
0.4482 0.3733 0.2723
0.4482 0.5749 0.1759
0.5518 0.4251 0.8241
0.5518 0.6267 0.7277
0.5749 0.1759 0.4482
0.5749 0.8990 0.1267
0.6010 0.1759 0.2277
0.6010 0.9251 0.3733
0.6267 0.3990 0.0749
0.6267 0.7277 0.5518
0.6759 0.0749 0.9482
0.6759 0.1010 0.7277
0.7277 0.5518 0.6267
0.7277 0.6759 0.1010
0.7723 0.3990 0.8241
0.7723 0.8733 0.9482
0.8241 0.5518 0.4251
0.8241 0.7723 0.3990
0.8733 0.4251 0.1010
0.8733 0.9482 0.7723
0.8990 0.1267 0.5749
0.8990 0.2723 0.3241
0.9251 0.0518 0.3241
0.9251 0.3733 0.6010
0.9482 0.6759 0.0749
0.9482 0.7723 0.8733
```

Summary:
Final energy in eV for the cell shown: -426.45
Space group: No. 230



Entry 13:
Material: MnZn4O5
Method: DFT, PBE with a Hubbard U
State: optimized geometry

```
MnZn4O5
1.0
3.3194 0.0000 0.0000
-1.6597 2.8747 0.0000
0.0000 0.0000 26.7706
Mn Zn O
2 8 10
direct
0.0000 0.0000 0.0000
0.0000 0.0000 0.2052
0.0000 0.0000 0.4060
0.0000 0.0000 0.6025
0.0000 0.0000 0.7991
0.3333 0.6667 0.1027
0.3333 0.6667 0.3078
0.3333 0.6667 0.5042
0.3333 0.6667 0.7008
0.3333 0.6667 0.8974
0.0000 0.0000 0.1267
0.0000 0.0000 0.3307
0.0000 0.0000 0.5273
0.0000 0.0000 0.7241
0.0000 0.0000 0.9215
0.3333 0.6667 0.0281
0.3333 0.6667 0.2327
0.3333 0.6667 0.4290
0.3333 0.6667 0.6257
0.3333 0.6667 0.8226
```

Summary:
Distance to the lowest polymorph of the same formula in meV per atom: 5
Space group: No. 156